Material: Cs2NpTaO6
Method: DFT, PBE
State: optimized geometry

abc: 10.784 10.784 10.784
angles: 34.10 34.10 34.10
Fractional coordinates of all 20 atoms:
Cs 0.131 0.131 0.131
Cs 0.281 0.281 0.281
Cs 0.719 0.719 0.719
Cs 0.869 0.869 0.869
Np 0.403 0.403 0.403
Np 0.597 0.597 0.597
Ta 0.000 0.000 0.000
Ta 0.500 0.500 0.500
O 0.183 0.592 0.592
O 0.193 0.193 0.725
O 0.193 0.725 0.193
O 0.275 0.807 0.807
O 0.408 0.408 0.817
O 0.408 0.817 0.408
O 0.592 0.183 0.592
O 0.592 0.592 0.183
O 0.725 0.193 0.193
O 0.807 0.275 0.807
O 0.807 0.807 0.275
O 0.817 0.408 0.408

Values from the calculation:
- Mass density: 7.37 g cm⁻³
- Crystal system: trigonal
- Total moment: 4.000 μB/cell
- Space group: No. 166
- ΔE_f (raw): -25.00 eV/f.u.